*i*
VASP calculation (PBE) on a relaxed structure of Re5Ni7.

a b c (Å): 4.9495 4.9495 14.8985
angles (deg): 90.00 90.00 120.00
Closest atoms and distances in Å follow each position.
Space group P6_3/mmc (No. 194)
One atom of each set of equivalent atoms:
Re: 0.0000 0.0000 0.0909 x4  7 Re 2.71-2.82, 9 Ni 2.72-3.01
Re: 0.0000 0.5000 0.0000 x6  4 Ni 2.46-2.71, 4 Re 2.47
Ni: 0.1557 0.3114 0.2500 x6  4 Ni 2.30-2.31
Ni: 0.3333 0.6667 0.1344 x4  3 Ni 2.30, 3 Re 2.46
Ni: 0.3333 0.6667 0.6544 x4  6 Re 2.71-3.01, 10 Ni 2.85-2.87


*ii*
VASP calculation (PBE) on a relaxed structure of Re5Ni7.

a b c (Å): 4.9682 4.9682 15.6081
angles (deg): 90.00 90.00 120.00
Closest atoms and distances in Å follow each position.
Space group P6_3/mmc (No. 194)
One atom of each set of equivalent atoms:
Re: 0.0000 0.5000 0.0000 x6  6 Re 2.48-2.56, 2 Ni 2.70
Re: 0.3333 0.6667 0.1361 x4  3 Ni 2.35, 3 Re 2.56
Ni: 0.0000 0.0000 0.0865 x4  7 Ni 2.70-3.02, 9 Re 2.83-2.97
Ni: 0.1544 0.3088 0.2500 x6  2 Ni 2.30, 2 Re 2.35
Ni: 0.3333 0.6667 0.6465 x4  6 Re 2.70-2.87, 9 Ni 2.96-3.02


*iii*
VASP calculation (PBE) on a relaxed structure of Re5Ni7.

a b c (Å): 4.9637 4.9637 15.7491
angles (deg): 90.00 90.00 120.00
Closest atoms and distances in Å follow each position.
Space group P6_3/mmc (No. 194)
One atom of each set of equivalent atoms:
Re: 0.1609 0.3217 0.2500 x6  6 Re 2.40-2.57
Re: 0.3333 0.6667 0.1214 x4  3 Ni 2.39, 3 Re 2.51
Ni: 0.0000 0.0000 0.0912 x4  6 Re 2.86-2.91, 10 Ni 2.87-3.06
Ni: 0.0000 0.5000 0.0000 x6  2 Re 2.39, 4 Ni 2.48
Ni: 0.3333 0.6667 0.6594 x4  7 Ni 2.85-3.06, 9 Re 2.86-2.93


Which structure is most stable? *i*, by 143 meV/atom over the runner-up.


*i*
VASP calculation (PBE) on a relaxed structure of ReNi2.

a b c (Å): 8.9434 8.9434 4.5724
angles (deg): 90.00 90.00 90.00
Closest atoms and distances in Å follow each position.
Space group P4_2/mnm (No. 136)
One atom of each set of equivalent atoms:
Re: 0.0000 0.0000 0.0000 x2  12 Ni 2.36-2.59
Re: 0.0392 0.3698 0.5000 x8  1 Re 2.43, 5 Ni 2.50-2.60
Ni: 0.0665 0.2551 0.0000 x8  5 Re 2.36-2.60, 5 Ni 2.39-2.60
Ni: 0.0960 0.0960 0.5000 x4  5 Ni 2.43-2.71, 4 Re 2.50-2.59
Ni: 0.1802 0.8198 0.2506 x8  2 Ni 2.28-2.29, 1 Re 2.55


*ii*
VASP calculation (PBE) on a relaxed structure of ReNi2.

a b c (Å): 4.6098 4.6098 16.1863
angles (deg): 90.00 90.00 120.00
Closest atoms and distances in Å follow each position.
Space group P6_3/mmc (No. 194)
One atom of each set of equivalent atoms:
Re: 0.0000 0.0000 0.0870 x4  12 Ni 2.70-2.94, 4 Re 2.74-2.82
Re: 0.3333 0.6667 0.1280 x4  6 Ni 2.40-2.46
Ni: 0.0000 0.5000 0.0000 x6  4 Ni 2.30, 2 Re 2.46
Ni: 0.1634 0.3268 0.2500 x6  4 Ni 2.26-2.35, 2 Re 2.40
Ni: 0.3333 0.6667 0.6562 x4  6 Re 2.70-2.89, 9 Ni 2.76-2.86


*iii*
VASP calculation (PBE) on a relaxed structure of ReNi2.

a b c (Å): 6.2880 6.2880 2.4967
angles (deg): 90.00 90.00 90.00
Closest atoms and distances in Å follow each position.
Space group P4_2/mnm (No. 136)
One atom of each set of equivalent atoms:
Re: 0.0000 0.0000 0.0000 x2  6 Ni 2.31-2.48, 2 Re 2.50
Ni: 0.2404 0.2404 0.5000 x4  3 Re 2.31-2.48, 2 Ni 2.50


*iv*
VASP calculation (PBE) on a relaxed structure of ReNi2.

a b c (Å): 8.7368 8.7368 4.8837
angles (deg): 90.00 90.00 90.00
Closest atoms and distances in Å follow each position.
Space group P4_2/mnm (No. 136)
One atom of each set of equivalent atoms:
Re: 0.0000 0.0000 0.0000 x2  8 Ni 2.43-2.72, 4 Re 2.59
Re: 0.1847 0.1847 0.2507 x8  3 Re 2.44-2.59, 6 Ni 2.52-2.72
Ni: 0.0410 0.6362 0.5000 x8  6 Ni 2.39-2.59
Ni: 0.0665 0.7303 0.0000 x8  5 Ni 2.42-2.59, 5 Re 2.43-2.62
Ni: 0.0962 0.9038 0.5000 x4  3 Ni 2.38-2.39


Which structure is most stable? *i*, by 64 meV/atom over the runner-up.


*i*
VASP calculation (PBE) on a relaxed structure of Re2Ni.

a b c (Å): 4.9343 8.4894 7.8185
angles (deg): 90.00 90.00 90.00
Closest atoms and distances in Å follow each position.
Space group Cmcm (No. 63)
One atom of each set of equivalent atoms:
Re: 0.0000 0.1718 0.0600 x8  10 Re 2.76-3.06, 6 Ni 2.83-2.90
Re: 0.2432 0.0985 0.7500 x8  2 Re 2.40-2.53, 4 Ni 2.42-2.49
Ni: 0.0000 0.3467 0.7500 x4  2 Ni 2.35, 4 Re 2.42-2.49
Ni: 0.0000 0.5000 0.0000 x4  2 Ni 2.35, 4 Re 2.48


*ii*
VASP calculation (PBE) on a relaxed structure of Re2Ni.

a b c (Å): 5.0848 5.0848 16.4170
angles (deg): 90.00 90.00 120.00
Closest atoms and distances in Å follow each position.
Space group P6_3/mmc (No. 194)
One atom of each set of equivalent atoms:
Re: 0.0000 0.5000 0.0000 x6  6 Re 2.54-2.57
Re: 0.1582 0.3164 0.2500 x6  6 Re 2.41-2.67
Re: 0.3333 0.6667 0.1287 x4  6 Re 2.52-2.57
Ni: 0.0000 0.0000 0.0787 x4  1 Ni 2.58, 6 Re 2.85
Ni: 0.3333 0.6667 0.6540 x4  12 Re 2.92-2.99, 4 Ni 3.15-3.19


Which structure is most stable? *i*, by 387 meV/atom over the runner-up.


*i*
VASP calculation (PBE) on a relaxed structure of Re2Ni.

a b c (Å): 9.1512 9.1512 4.9159
angles (deg): 90.00 90.00 90.00
Closest atoms and distances in Å follow each position.
Space group P4_2/mnm (No. 136)
One atom of each set of equivalent atoms:
Re: 0.0694 0.2661 0.0000 x8  5 Ni 2.52-2.66, 5 Re 2.55-2.69
Re: 0.0989 0.0989 0.5000 x4  1 Re 2.56, 4 Ni 2.57-2.77
Re: 0.1762 0.8238 0.2515 x8  6 Re 2.44-2.69, 1 Ni 2.59
Ni: 0.0000 0.0000 0.0000 x2  12 Re 2.52-2.77
Ni: 0.0353 0.3728 0.5000 x8  1 Ni 2.42, 5 Re 2.52-2.66


*ii*
VASP calculation (PBE) on a relaxed structure of Re2Ni.

a b c (Å): 5.1011 5.1011 8.1785
angles (deg): 90.00 90.00 120.00
Closest atoms and distances in Å follow each position.
Space group P6_3/mmc (No. 194)
One atom of each set of equivalent atoms:
Re: 0.0000 0.0000 0.0000 x2  6 Re 2.56
Re: 0.1737 0.3475 0.2500 x6  6 Re 2.44-2.66
Ni: 0.3333 0.6667 0.5919 x4  1 Ni 2.59, 6 Re 2.86


*iii*
VASP calculation (PBE) on a relaxed structure of Re2Ni.

a b c (Å): 5.0469 5.0469 15.6285
angles (deg): 90.00 90.00 120.00
Closest atoms and distances in Å follow each position.
Space group P6_3/mmc (No. 194)
One atom of each set of equivalent atoms:
Re: 0.0000 0.0000 0.0875 x4  10 Re 2.74-2.90, 3 Ni 2.98
Re: 0.0000 0.5000 0.0000 x6  2 Ni 2.46, 4 Re 2.52
Re: 0.1599 0.3198 0.2500 x6  4 Re 2.42-2.63, 2 Ni 2.45
Ni: 0.3333 0.6667 0.1272 x4  6 Re 2.45-2.46
Ni: 0.3333 0.6667 0.6557 x4  12 Re 2.84-3.10, 4 Ni 2.95


Which structure is most stable? *i*, by 276 meV/atom over the runner-up.


*i*
VASP calculation (PBE) on a relaxed structure of Re8Ni7.

a b c (Å): 8.9711 8.9711 4.8426
angles (deg): 90.00 90.00 90.00
Closest atoms and distances in Å follow each position.
Space group P4_2/mnm (No. 136)
One atom of each set of equivalent atoms:
Re: 0.0354 0.3672 0.0000 x8  1 Re 2.47, 5 Ni 2.50-2.63
Re: 0.1831 0.8169 0.2494 x8  2 Re 2.42-2.43, 5 Ni 2.62
Ni: 0.0000 0.0000 0.5000 x2  4 Ni 2.37, 4 Re 2.62
Ni: 0.0652 0.2562 0.5000 x8  2 Ni 2.37-2.42, 8 Re 2.58-2.63
Ni: 0.0948 0.0948 0.0000 x4  1 Ni 2.40, 2 Re 2.50


*ii*
VASP calculation (PBE) on a relaxed structure of Re8Ni7.

a b c (Å): 9.2452 9.2452 4.6872
angles (deg): 90.00 90.00 90.00
Closest atoms and distances in Å follow each position.
Space group P4_2/mnm (No. 136)
One atom of each set of equivalent atoms:
Re: 0.0331 0.3630 0.0000 x8  5 Re 2.56-2.69, 3 Ni 2.56-2.85
Re: 0.0647 0.2573 0.5000 x8  5 Ni 2.45-2.70, 5 Re 2.52-2.69
Ni: 0.0000 0.0000 0.5000 x2  4 Re 2.45, 8 Ni 2.62-2.64
Ni: 0.0921 0.0921 0.0000 x4  3 Ni 2.41-2.64, 2 Re 2.56
Ni: 0.1796 0.8204 0.2504 x8  2 Ni 2.34-2.35


Which structure is most stable? *i*, by 59 meV/atom over the runner-up.